[1]
{
  "formula": "CePaNiPd",
  "functional": "PBE",
  "state": "relaxed",
  "total_energy_ev_per_cell": -28.09,
  "sg": "F-43m, No. 216",
  "dos_ef_per_ev_cell": 6.9,
  "lattice_angstrom": [[0.000, 3.324, 3.324], [3.324, 0.000, 3.324], [3.324, 3.324, 0.000]],
  "species": ["Ce", "Pa", "Ni", "Pd"],
  "fractional_positions": [[0.000, 0.000, 0.000], [0.750, 0.750, 0.750], [0.500, 0.500, 0.500], [0.250, 0.250, 0.250]]
}

---

[2]
{
  "formula": "CePaReNi",
  "functional": "PBE",
  "state": "relaxed",
  "total_energy_ev_per_cell": -33.75,
  "sg": "F-43m, No. 216",
  "dos_ef_per_ev_cell": 7.3,
  "lattice_angstrom": [[0.000, 3.427, 3.427], [3.427, 0.000, 3.427], [3.427, 3.427, 0.000]],
  "species": ["Ce", "Pa", "Re", "Ni"],
  "fractional_positions": [[0.000, 0.000, 0.000], [0.500, 0.500, 0.500], [0.750, 0.750, 0.750], [0.250, 0.250, 0.250]]
}

---

[3]
{
  "formula": "CePaNiRu",
  "functional": "PBE",
  "state": "relaxed",
  "total_energy_ev_per_cell": -31.48,
  "sg": "F-43m, No. 216",
  "dos_ef_per_ev_cell": 8.7,
  "lattice_angstrom": [[0.000, 3.407, 3.407], [3.407, 0.000, 3.407], [3.407, 3.407, 0.000]],
  "species": ["Ce", "Pa", "Ni", "Ru"],
  "fractional_positions": [[0.000, 0.000, 0.000], [0.500, 0.500, 0.500], [0.250, 0.250, 0.250], [0.750, 0.750, 0.750]]
}

---

[4]
{
  "formula": "Ce2PaNi2S6",
  "functional": "PBE",
  "state": "relaxed",
  "sg": "P-3, No. 147",
  "formation_energy_uncorrected_kcal_per_mol_atoms": -28.9,
  "dos_ef_per_ev_cell": 10.0,
  "lattice_angstrom": [[7.027, 0.000, 0.000], [-3.514, 6.086, 0.000], [0.000, 0.000, 5.579]],
  "species": ["Ce", "Ce", "Pa", "Ni", "Ni", "S", "S", "S", "S", "S", "S"],
  "fractional_positions": [[0.333, 0.667, 0.299], [0.667, 0.333, 0.701], [0.000, 0.000, 0.000], [0.333, 0.667, 0.849], [0.667, 0.333, 0.151], [0.070, 0.726, 0.732], [0.274, 0.344, 0.732], [0.344, 0.070, 0.268], [0.656, 0.930, 0.732], [0.726, 0.656, 0.268], [0.930, 0.274, 0.268]]
}

---

[5]
{
  "formula": "CePaNiS4",
  "functional": "PBE",
  "state": "relaxed",
  "sg": "P2_1/m, No. 11",
  "formation_energy_uncorrected_kcal_per_mol_atoms": -34.7,
  "dos_ef_per_ev_cell": 13.9,
  "lattice_angstrom": [[6.304, 0.000, 0.000], [0.000, 5.957, 0.000], [-2.232, 0.000, 7.314]],
  "species": ["Ce", "Ce", "Pa", "Pa", "Ni", "Ni", "S", "S", "S", "S", "S", "S", "S", "S"],
  "fractional_positions": [[0.247, 0.250, 0.061], [0.753, 0.750, 0.939], [0.241, 0.250, 0.558], [0.759, 0.750, 0.442], [0.237, 0.750, 0.320], [0.763, 0.250, 0.680], [0.019, 0.512, 0.746], [0.019, 0.988, 0.746], [0.431, 0.750, 0.120], [0.431, 0.750, 0.606], [0.569, 0.250, 0.394], [0.569, 0.250, 0.880], [0.981, 0.012, 0.254], [0.981, 0.488, 0.254]]
}

---

[6]
{
  "formula": "Ce2PaNiSe5",
  "functional": "PBE",
  "state": "relaxed",
  "sg": "Cmc2_1, No. 36",
  "formation_energy_uncorrected_kcal_per_mol_atoms": -33.6,
  "dos_ef_per_ev_cell": 31.3,
  "lattice_angstrom": [[1.986, -8.660, 0.000], [1.986, 8.660, 0.000], [0.000, 0.000, 12.453]],
  "species": ["Ce", "Ce", "Ce", "Ce", "Pa", "Pa", "Ni", "Ni", "Se", "Se", "Se", "Se", "Se", "Se", "Se", "Se", "Se", "Se"],
  "fractional_positions": [[0.107, 0.893, 0.500], [0.120, 0.880, 0.850], [0.880, 0.120, 0.350], [0.893, 0.107, 0.000], [0.177, 0.823, 0.173], [0.823, 0.177, 0.673], [0.437, 0.563, 0.573], [0.563, 0.437, 0.073], [0.018, 0.982, 0.167], [0.308, 0.692, 0.840], [0.309, 0.691, 0.508], [0.344, 0.656, 0.172], [0.499, 0.501, 0.904], [0.501, 0.499, 0.404], [0.656, 0.344, 0.672], [0.691, 0.309, 0.008], [0.692, 0.308, 0.340], [0.982, 0.018, 0.667]]
}

---

[7]
{
  "formula": "CePaNiSe4",
  "functional": "PBE",
  "state": "relaxed",
  "sg": "P2_1/m, No. 11",
  "formation_energy_uncorrected_kcal_per_mol_atoms": -29.1,
  "dos_ef_per_ev_cell": 16.9,
  "lattice_angstrom": [[6.657, 0.000, 0.000], [0.000, 6.176, 0.000], [-2.324, 0.000, 7.676]],
  "species": ["Ce", "Ce", "Pa", "Pa", "Ni", "Ni", "Se", "Se", "Se", "Se", "Se", "Se", "Se", "Se"],
  "fractional_positions": [[0.243, 0.250, 0.061], [0.757, 0.750, 0.939], [0.250, 0.250, 0.559], [0.750, 0.750, 0.441], [0.245, 0.750, 0.322], [0.755, 0.250, 0.678], [0.018, 0.511, 0.745], [0.018, 0.989, 0.745], [0.428, 0.750, 0.612], [0.429, 0.750, 0.113], [0.571, 0.250, 0.887], [0.572, 0.250, 0.388], [0.982, 0.011, 0.255], [0.982, 0.489, 0.255]]
}

---

[8]
{
  "formula": "Ce2Pa2Si4Ni",
  "functional": "PBE",
  "state": "relaxed",
  "sg": "I4/mmm, No. 139",
  "formation_energy_uncorrected_kcal_per_mol_atoms": -6.1,
  "dos_ef_per_ev_cell": 14.4,
  "lattice_angstrom": [[-3.391, 3.391, 4.014], [3.391, -3.391, 4.014], [3.391, 3.391, -4.014]],
  "species": ["Ce", "Ce", "Pa", "Pa", "Si", "Si", "Si", "Si", "Ni"],
  "fractional_positions": [[0.180, 0.180, 0.000], [0.820, 0.820, 0.000], [0.250, 0.750, 0.500], [0.750, 0.250, 0.500], [0.267, 0.267, 0.533], [0.267, 0.733, 0.000], [0.733, 0.267, 0.000], [0.733, 0.733, 0.467], [0.500, 0.500, 0.000]]
}